No. 1
A plane-wave DFT calculation with GGA-PBE was carried out for a relaxed structure of Sc2BeZnPt2.

Structure (POSCAR):
```
Sc2BeZnPt2
1.0
-2.748 6.776 2.671
2.748 -6.776 2.671
2.748 6.776 -2.671
Sc Be Zn Pt
4 2 2 4
Direct
0.174 0.202 0.376 Sc
0.326 0.702 0.028 Sc
0.674 0.298 0.972 Sc
0.826 0.798 0.624 Sc
0.250 0.750 0.500 Be
0.750 0.250 0.500 Be
0.250 0.250 0.000 Zn
0.750 0.750 0.000 Zn
0.121 0.694 0.815 Pt
0.379 0.194 0.573 Pt
0.621 0.806 0.427 Pt
0.879 0.306 0.185 Pt
```

Results
DFT formation energy in meV per atom: -867


No. 2
A plane-wave DFT calculation with GGA-PBE was carried out for a relaxed structure of MgTiNb2H.

Structure (POSCAR):
```
MgTiNb2H
1.0
4.098 0.000 0.000
0.000 4.098 0.000
0.000 0.000 4.472
Mg Ti Nb H
1 1 2 1
Direct
0.000 0.000 0.000 Mg
0.500 0.500 0.000 Ti
0.000 0.500 0.500 Nb
0.500 0.000 0.500 Nb
0.500 0.500 0.500 H
```

Results
E_tot in eV per cell: -32.94


> Number 2 is which compound?

MgTiNb2H